Entry 1:
The following is a PBE calculation of a relaxed structure of TmScAlCu, from Alexandria via LeMat-Bulk.

Computed properties:
DFT total energy	-0.3657	Ry/atom
M_tot	0.000	μB per atom
ΔE to the lowest computed polymorph	42	meV/atom
formation energy from the elements	-0.315	eV/atom

Geometry as CIF:
```
data_TmScAlCu
_chemical_formula_sum 'Tm4 Sc4 Al4 Cu4'
_space_group_name_H-M_alt 'F -4 3 m'
_space_group_IT_number 216
_space_group_name_Hall 'F -4 2 3'
_cell_length_a 6.864
_cell_length_b 6.864
_cell_length_c 6.864
_cell_angle_alpha 90.00
_cell_angle_beta 90.00
_cell_angle_gamma 90.00
loop_
_atom_site_label
_atom_site_type_symbol
_atom_site_fract_x
_atom_site_fract_y
_atom_site_fract_z
Tm1 Tm 0.000 0.000 0.000
Sc1 Sc 0.000 0.000 0.500
Al1 Al 0.250 0.250 0.250
Cu1 Cu 0.250 0.250 0.750
```

Entry 2:
The following is a PBE calculation of a relaxed structure of ScAl2ZnCu4, from Alexandria via LeMat-Bulk.

Computed properties:
DFT total energy	-0.3062	Ry/atom
M_tot	0.000	μB per atom
formation energy from the elements	-0.232	eV/atom

Geometry as CIF:
```
data_ScAl2ZnCu4
_chemical_formula_sum 'Sc3 Al6 Zn3 Cu12'
_space_group_name_H-M_alt 'R -3 m'
_space_group_IT_number 166
_space_group_name_Hall '-R 3 2"'
_cell_length_a 4.2183
_cell_length_b 4.2183
_cell_length_c 22.4754
_cell_angle_alpha 90.00
_cell_angle_beta 90.00
_cell_angle_gamma 120.00
loop_
_atom_site_label
_atom_site_type_symbol
_atom_site_fract_x
_atom_site_fract_y
_atom_site_fract_z
Sc1 Sc 0.0000 0.0000 0.0000
Al1 Al 0.0000 0.0000 0.2495
Zn1 Zn 0.0000 0.0000 0.5000
Cu1 Cu 0.0000 0.0000 0.1270
Cu2 Cu 0.0000 0.0000 0.3905
```

Entry 3:
The following is a PBE calculation of a relaxed structure of ScAlZn2Cu4, from Alexandria via LeMat-Bulk.

Computed properties:
DFT total energy	-0.2795	Ry/atom
M_tot	0.000	μB per atom
formation energy from the elements	-0.177	eV/atom

Geometry as CIF:
```
data_ScAlZn2Cu4
_chemical_formula_sum 'Sc3 Al3 Zn6 Cu12'
_space_group_name_H-M_alt 'R -3 m'
_space_group_IT_number 166
_space_group_name_Hall '-R 3 2"'
_cell_length_a 4.2537
_cell_length_b 4.2537
_cell_length_c 21.7433
_cell_angle_alpha 90.00
_cell_angle_beta 90.00
_cell_angle_gamma 120.00
loop_
_atom_site_label
_atom_site_type_symbol
_atom_site_fract_x
_atom_site_fract_y
_atom_site_fract_z
Sc1 Sc 0.0000 0.0000 0.0000
Al1 Al 0.0000 0.0000 0.5000
Zn1 Zn 0.0000 0.0000 0.2517
Cu1 Cu 0.0000 0.0000 0.1281
Cu2 Cu 0.0000 0.0000 0.3865
```

Entry 4:
The following is a PBE calculation of a relaxed structure of ScAlZn3Cu, from Alexandria via LeMat-Bulk.

Computed properties:
DFT total energy	-0.2199	Ry/atom
M_tot	0.000	μB per atom
formation energy from the elements	0.007	eV/atom

Geometry as CIF:
```
data_ScAlZn3Cu
_chemical_formula_sum 'Sc4 Al4 Zn12 Cu4'
_space_group_name_H-M_alt 'C m c m'
_space_group_IT_number 63
_space_group_name_Hall '-C 2c 2'
_cell_length_a 6.132
_cell_length_b 12.374
_cell_length_c 5.446
_cell_angle_alpha 90.00
_cell_angle_beta 90.00
_cell_angle_gamma 90.00
loop_
_atom_site_label
_atom_site_type_symbol
_atom_site_fract_x
_atom_site_fract_y
_atom_site_fract_z
Sc1 Sc 0.000 0.193 0.250
Al1 Al 0.000 0.413 0.250
Zn1 Zn 0.000 0.355 0.750
Zn2 Zn 0.198 0.000 0.000
Cu1 Cu 0.000 0.151 0.750
```

Entry 5:
The following is a PBE calculation of a relaxed structure of Sc4AlZnCu2, from Alexandria via LeMat-Bulk.

Computed properties:
DFT total energy	-0.3785	Ry/atom
M_tot	0.000	μB per atom
formation energy from the elements	-0.333	eV/atom

Geometry as CIF:
```
data_Sc4AlZnCu2
_chemical_formula_sum 'Sc12 Al3 Zn3 Cu6'
_space_group_name_H-M_alt 'R -3 m'
_space_group_IT_number 166
_space_group_name_Hall '-R 3 2"'
_cell_length_a 4.6996
_cell_length_b 4.6996
_cell_length_c 23.0234
_cell_angle_alpha 90.00
_cell_angle_beta 90.00
_cell_angle_gamma 120.00
loop_
_atom_site_label
_atom_site_type_symbol
_atom_site_fract_x
_atom_site_fract_y
_atom_site_fract_z
Sc1 Sc 0.0000 0.0000 0.1229
Sc2 Sc 0.0000 0.0000 0.3732
Al1 Al 0.0000 0.0000 0.5000
Zn1 Zn 0.0000 0.0000 0.0000
Cu1 Cu 0.0000 0.0000 0.2461
```

Entry 6:
The following is a PBE calculation of a relaxed structure of Sc4Al2ZnCu, from Alexandria via LeMat-Bulk.

Computed properties:
DFT total energy	-0.3789	Ry/atom
M_tot	0.000	μB per atom
formation energy from the elements	-0.383	eV/atom

Geometry as CIF:
```
data_Sc4Al2ZnCu
_chemical_formula_sum 'Sc12 Al6 Zn3 Cu3'
_space_group_name_H-M_alt 'R -3 m'
_space_group_IT_number 166
_space_group_name_Hall '-R 3 2"'
_cell_length_a 4.7506
_cell_length_b 4.7506
_cell_length_c 23.2914
_cell_angle_alpha 90.00
_cell_angle_beta 90.00
_cell_angle_gamma 120.00
loop_
_atom_site_label
_atom_site_type_symbol
_atom_site_fract_x
_atom_site_fract_y
_atom_site_fract_z
Sc1 Sc 0.0000 0.0000 0.1234
Sc2 Sc 0.0000 0.0000 0.3736
Al1 Al 0.0000 0.0000 0.2493
Zn1 Zn 0.0000 0.0000 0.5000
Cu1 Cu 0.0000 0.0000 0.0000
```

Entry 7:
The following is a PBE calculation of a relaxed structure of Al2CuSe, from Alexandria via LeMat-Bulk.

Computed properties:
DFT total energy	-0.2759	Ry/atom
M_tot	0.000	μB per atom
energy relative to the elements, uncorrected	0.012	eV per atom

Geometry as CIF:
```
data_Al2CuSe
_chemical_formula_sum 'Al2 Cu1 Se1'
_space_group_name_H-M_alt 'P 4/m m m'
_space_group_IT_number 123
_space_group_name_Hall '-P 4 2'
_cell_length_a 3.263
_cell_length_b 3.263
_cell_length_c 6.130
_cell_angle_alpha 90.00
_cell_angle_beta 90.00
_cell_angle_gamma 90.00
loop_
_atom_site_label
_atom_site_type_symbol
_atom_site_fract_x
_atom_site_fract_y
_atom_site_fract_z
Al1 Al 0.000 0.000 0.232
Cu1 Cu 0.500 0.500 0.000
Se1 Se 0.500 0.500 0.500
```

Entry 8:
The following is a PBE calculation of a relaxed structure of Al3CuSe, from Alexandria via LeMat-Bulk.

Computed properties:
DFT total energy	-0.2147	Ry/atom
M_tot	0.000	μB per atom
ΔE to the lowest computed polymorph	793	meV/atom
energy relative to the elements, uncorrected	0.841	eV per atom

Geometry as CIF:
```
data_Al3CuSe
_chemical_formula_sum 'Al3 Cu1 Se1'
_space_group_name_H-M_alt 'P m -3 m'
_space_group_IT_number 221
_space_group_name_Hall '-P 4 2 3'
_cell_length_a 4.934
_cell_length_b 4.934
_cell_length_c 4.934
_cell_angle_alpha 90.00
_cell_angle_beta 90.00
_cell_angle_gamma 90.00
loop_
_atom_site_label
_atom_site_type_symbol
_atom_site_fract_x
_atom_site_fract_y
_atom_site_fract_z
Al1 Al 0.000 0.000 0.500
Cu1 Cu 0.500 0.500 0.500
Se1 Se 0.000 0.000 0.000
```

Entry 9:
The following is a PBE calculation of a relaxed structure of Al2CuSe, from Alexandria via LeMat-Bulk.

Computed properties:
DFT total energy	-0.2701	Ry/atom
M_tot	0.000	μB per atom
energy relative to the elements, uncorrected	0.092	eV per atom

Geometry as CIF:
```
data_Al2CuSe
_chemical_formula_sum 'Al2 Cu1 Se1'
_space_group_name_H-M_alt 'P 4 m m'
_space_group_IT_number 99
_space_group_name_Hall 'P 4 -2'
_cell_length_a 2.990
_cell_length_b 2.990
_cell_length_c 7.480
_cell_angle_alpha 90.00
_cell_angle_beta 90.00
_cell_angle_gamma 90.00
loop_
_atom_site_label
_atom_site_type_symbol
_atom_site_fract_x
_atom_site_fract_y
_atom_site_fract_z
Al1 Al 0.000 0.000 0.000
Al2 Al 0.500 0.500 0.272
Cu1 Cu 0.000 0.000 0.476
Se1 Se 0.500 0.500 0.750
```

Entry 10:
The following is a PBE calculation of a relaxed structure of Al2CuSe, from Alexandria via LeMat-Bulk.

Computed properties:
DFT total energy	-0.2719	Ry/atom
M_tot	0.000	μB per atom
energy relative to the elements, uncorrected	0.067	eV per atom

Geometry as CIF:
```
data_Al2CuSe
_chemical_formula_sum 'Al4 Cu2 Se2'
_space_group_name_H-M_alt 'C m m m'
_space_group_IT_number 65
_space_group_name_Hall '-C 2 2'
_cell_length_a 5.460
_cell_length_b 7.441
_cell_length_c 3.303
_cell_angle_alpha 90.00
_cell_angle_beta 90.00
_cell_angle_gamma 90.00
loop_
_atom_site_label
_atom_site_type_symbol
_atom_site_fract_x
_atom_site_fract_y
_atom_site_fract_z
Al1 Al 0.250 0.250 0.000
Cu1 Cu 0.000 0.000 0.500
Se1 Se 0.000 0.500 0.500
```

Entry 11:
The following is a PBE calculation of a relaxed structure of Al2CuSe, from Alexandria via LeMat-Bulk.

Computed properties:
DFT total energy	-0.2755	Ry/atom
M_tot	0.000	μB per atom
energy relative to the elements, uncorrected	0.018	eV per atom

Geometry as CIF:
```
data_Al2CuSe
_chemical_formula_sum 'Al8 Cu4 Se4'
_space_group_name_H-M_alt 'I -4 2 d'
_space_group_IT_number 122
_space_group_name_Hall 'I -4 2bw'
_cell_length_a 5.994
_cell_length_b 5.994
_cell_length_c 10.168
_cell_angle_alpha 90.00
_cell_angle_beta 90.00
_cell_angle_gamma 90.00
loop_
_atom_site_label
_atom_site_type_symbol
_atom_site_fract_x
_atom_site_fract_y
_atom_site_fract_z
Al1 Al 0.227 0.250 0.125
Cu1 Cu 0.000 0.000 0.000
Se1 Se 0.000 0.000 0.500
```

Entry 12:
The following is a PBE calculation of a relaxed structure of Al2CuSe, from Alexandria via LeMat-Bulk.

Computed properties:
DFT total energy	-0.2879	Ry/atom
M_tot	0.000	μB per atom
energy relative to the elements, uncorrected	-0.151	eV per atom

Geometry as CIF:
```
data_Al2CuSe
_chemical_formula_sum 'Al4 Cu2 Se2'
_space_group_name_H-M_alt 'C 1 2/m 1'
_space_group_IT_number 12
_space_group_name_Hall '-C 2y'
_cell_length_a 5.889
_cell_length_b 3.415
_cell_length_c 7.147
_cell_angle_alpha 90.00
_cell_angle_beta 105.76
_cell_angle_gamma 90.00
loop_
_atom_site_label
_atom_site_type_symbol
_atom_site_fract_x
_atom_site_fract_y
_atom_site_fract_z
Al1 Al 0.246 0.000 0.240
Cu1 Cu 0.000 0.500 0.000
Se1 Se 0.000 0.000 0.500
```

Entry 13:
The following is a PBE calculation of a relaxed structure of Al3CuSe, from Alexandria via LeMat-Bulk.

Computed properties:
DFT total energy	-0.2730	Ry/atom
M_tot	0.000	μB per atom
ΔE to the lowest computed polymorph	0	meV/atom
energy relative to the elements, uncorrected	0.048	eV per atom

Geometry as CIF:
```
data_Al3CuSe
_chemical_formula_sum 'Al3 Cu1 Se1'
_space_group_name_H-M_alt 'P m -3 m'
_space_group_IT_number 221
_space_group_name_Hall '-P 4 2 3'
_cell_length_a 4.616
_cell_length_b 4.616
_cell_length_c 4.616
_cell_angle_alpha 90.00
_cell_angle_beta 90.00
_cell_angle_gamma 90.00
loop_
_atom_site_label
_atom_site_type_symbol
_atom_site_fract_x
_atom_site_fract_y
_atom_site_fract_z
Al1 Al 0.000 0.000 0.500
Cu1 Cu 0.000 0.000 0.000
Se1 Se 0.500 0.500 0.500
```